Cs2KIBr4 | PBE | relaxed

Values from the calculation:
formation energy from raw total energies: -1.30 eV per atom
mass density: 3.083 g/cm3

Cell lengths 13.1370, 16.3585, 9.7447 Å; angles 90.00, 129.38, 90.00 degrees
Space group C2/c (No. 15)
Inequivalent atoms, fractional coordinates:
Cs  0.0000  0.0000  0.0000 [4 per cell]
Cs  0.2500  0.2500  0.0000 [4 per cell]
K  0.0000  0.5000  0.0000 [4 per cell]
I  0.2500  0.2500  0.5000 [4 per cell]
Br  0.0614  0.2855  0.5322 [8 per cell]
Br  0.2436  0.4640  0.0120 [8 per cell]